No. 1
Here is a geometry-optimized YTa2Nb structure from Alexandria. Energies are from PBE-GGA.

Properties
Space group ... Fm-3m, No. 225
DOS at the Fermi energy ... 1.514 states/eV per atom
Energy above the lowest structure with this stoichiometry ... 0 meV per atom
DFT formation energy ... 0.415 eV/atom

a b c (Å): 4.865 4.865 4.865
angles (deg): 60.00 60.00 60.00
Atoms (fractional coordinates):
1 Nb 0.500 0.500 0.500
2 Ta 0.750 0.750 0.750
3 Y 0.000 0.000 0.000
4 Ta 0.250 0.250 0.250

---

No. 2
Here is a geometry-optimized Cs3CaCu2Cl9 structure from Alexandria. Energies are from PBE-GGA.

Properties
Space group ... P-3m1, No. 164
DOS at the Fermi energy ... 0.355 states/eV per atom
Formation energy without anion corrections ... -1.4560 eV/atom

a b c (Å): 7.255 7.255 8.938
angles (deg): 90.00 90.00 120.00
Each line ends with the local moment (μB).
Atoms (fractional coordinates):
1 Cs 0.333 0.667 0.668  0.00
2 Cl 0.500 0.500 0.000  0.03
3 Cu 0.333 0.667 0.155  0.10
4 Cl 0.825 0.175 0.682  0.01
5 Cl 0.825 0.651 0.682  0.01
6 Cu 0.667 0.333 0.845  0.10
7 Cl 0.175 0.349 0.318  0.01
8 Cl 0.175 0.825 0.318  0.01
9 Cl 0.500 0.000 0.000  0.03
10 Cs 0.667 0.333 0.332  0.00
11 Cl 0.349 0.175 0.682  0.01
12 Cs 0.000 0.000 0.000  0.00
13 Cl 0.000 0.500 0.000  0.03
14 Cl 0.651 0.825 0.318  0.01
15 Ca 0.000 0.000 0.500  0.00

---

No. 3
Here is a geometry-optimized HfTl2PbSe4 structure from Alexandria. Energies are from PBE-GGA.

Properties
Space group ... C2/c, No. 15
Energy above the lowest structure with this stoichiometry ... 0 meV per atom
Formation energy without anion corrections ... -0.8220 eV/atom

a b c (Å): 9.140 9.140 7.104
angles (deg): 73.38 73.38 56.02
Atoms (fractional coordinates):
1 Tl 0.622 0.877 0.767
2 Tl 0.877 0.622 0.267
3 Se 0.449 0.766 0.536
4 Se 0.996 0.199 0.496
5 Se 0.234 0.551 0.964
6 Hf 0.124 0.876 0.750
7 Tl 0.378 0.123 0.233
8 Tl 0.123 0.378 0.733
9 Hf 0.876 0.124 0.250
10 Se 0.004 0.801 0.504
11 Se 0.199 0.996 0.996
12 Se 0.551 0.234 0.464
13 Se 0.766 0.449 0.036
14 Pb 0.625 0.375 0.750
15 Se 0.801 0.004 0.004
16 Pb 0.375 0.625 0.250

---

No. 4
Here is a geometry-optimized Rb3Hg2Te3 structure from Alexandria. Energies are from PBE-GGA.

Properties
Space group ... Cmcm, No. 63
DOS at the Fermi energy ... 0.303 states/eV per atom
Formation energy without anion corrections ... -0.6306 eV/atom

a b c (Å): 5.311 7.342 17.492
angles (deg): 90.00 90.00 111.20
Atoms (fractional coordinates):
1 Te 0.634 0.267 0.448
2 Te 0.330 0.660 0.250
3 Rb 0.084 0.169 0.893
4 Rb 0.360 0.720 0.750
5 Te 0.366 0.733 0.948
6 Rb 0.916 0.831 0.393
7 Rb 0.084 0.169 0.607
8 Rb 0.916 0.831 0.107
9 Te 0.670 0.340 0.750
10 Te 0.366 0.733 0.552
11 Hg 0.216 0.433 0.092
12 Hg 0.784 0.567 0.908
13 Te 0.634 0.267 0.052
14 Hg 0.216 0.433 0.408
15 Rb 0.640 0.280 0.250
16 Hg 0.784 0.567 0.592

---

No. 5
Here is a geometry-optimized LaTbGd2 structure from Alexandria. Energies are from PBE-GGA.

Properties
Space group ... P4/mmm, No. 123
DOS at the Fermi energy ... 1.710 states/eV per atom
Energy above the lowest structure with this stoichiometry ... 0 meV per atom
DFT formation energy ... 0.025 eV/atom

a b c (Å): 5.128 5.110 5.110
angles (deg): 90.00 90.00 90.00
Each line ends with the local moment (μB).
Atoms (fractional coordinates):
1 Tb 0.500 0.500 0.500  0.01
2 La 0.500 0.000 0.000  -0.03
3 Gd 0.000 0.000 0.500  7.17
4 Gd 0.000 0.500 0.000  7.17

---

No. 6
Here is a geometry-optimized CsLi2Np2O7 structure from Alexandria. Energies are from PBE-GGA.

Properties
Space group ... I4/mmm, No. 139
DOS at the Fermi energy ... 0.417 states/eV per atom
Formation energy without anion corrections ... -2.5394 eV/atom

a b c (Å): 4.319 4.319 9.573
angles (deg): 103.05 103.04 90.00
Each line ends with the local moment (μB).
Atoms (fractional coordinates):
1 Li 0.250 0.749 0.500  0.00
2 Np 0.621 0.621 0.241  1.75
3 O 0.500 0.500 0.000  -0.07
4 O 0.728 0.728 0.457  -0.07
5 O 0.125 0.625 0.250  -0.08
6 Li 0.750 0.251 0.500  0.00
7 O 0.625 0.125 0.250  -0.08
8 Cs 0.000 0.000 0.000  0.01
9 O 0.272 0.271 0.543  -0.07
10 Np 0.379 0.379 0.759  1.75
11 O 0.875 0.375 0.750  -0.08
12 O 0.375 0.875 0.750  -0.08

---

No. 7
Here is a geometry-optimized Ba2PaTlS5 structure from Alexandria. Energies are from PBE-GGA.

Properties
Space group ... Immm, No. 71
Formation energy without anion corrections ... -1.6044 eV/atom

a b c (Å): 5.203 7.650 8.781
angles (deg): 115.82 107.24 90.00
Atoms (fractional coordinates):
1 S 0.631 0.899 0.262
2 S 0.369 0.637 0.738
3 S 0.631 0.363 0.262
4 Ba 0.787 0.787 0.575
5 Tl 0.000 0.500 0.000
6 Pa 0.500 0.000 0.000
7 S 0.369 0.101 0.738
8 S 0.000 0.000 0.000
9 Ba 0.213 0.213 0.425

---

No. 8
Here is a geometry-optimized LiCdPb2 structure from Alexandria. Energies are from PBE-GGA.

Properties
Space group ... R-3m, No. 166
DOS at the Fermi energy ... 0.168 states/eV per atom
DFT formation energy ... -0.057 eV/atom

a b c (Å): 11.124 11.124 11.124
angles (deg): 17.19 17.19 17.19
Atoms (fractional coordinates):
1 Pb 0.493 0.493 0.493
2 Cd 0.250 0.250 0.250
3 Pb 0.007 0.007 0.007
4 Li 0.750 0.750 0.750

---

No. 9
Here is a geometry-optimized CrSb2Te structure from Alexandria. Energies are from PBE-GGA.

Properties
Space group ... F-43m, No. 216
DOS at the Fermi energy ... 0.746 states/eV per atom
Energy above the lowest structure with this stoichiometry ... 345 meV per atom
Formation energy without anion corrections ... 0.4406 eV/atom

a b c (Å): 5.228 5.228 5.228
angles (deg): 120.04 120.04 89.92
Each line ends with the local moment (μB).
Atoms (fractional coordinates):
1 Sb 0.000 0.000 0.000  -0.09
2 Cr 0.750 0.250 0.500  3.79
3 Te 0.500 0.500 0.000  -0.11
4 Sb 0.250 0.750 0.500  0.06

---

No. 10
Here is a geometry-optimized Tm6Ir2Pd structure from Alexandria. Energies are from PBE-GGA.

Properties
Space group ... P2_1/c, No. 14
DOS at the Fermi energy ... 0.719 states/eV per atom
DFT formation energy ... -0.655 eV/atom

a b c (Å): 6.538 7.311 9.421
angles (deg): 90.00 86.64 90.00
Atoms (fractional coordinates):
1 Tm 0.179 0.335 0.437
2 Tm 0.337 0.551 0.740
3 Tm 0.151 0.321 0.078
4 Pd 0.000 0.000 0.500
5 Tm 0.821 0.665 0.563
6 Ir 0.543 0.881 0.765
7 Tm 0.679 0.165 0.937
8 Tm 0.663 0.449 0.260
9 Ir 0.957 0.381 0.735
10 Tm 0.163 0.051 0.760
11 Tm 0.837 0.949 0.240
12 Tm 0.321 0.835 0.063
13 Tm 0.849 0.679 0.922
14 Tm 0.349 0.821 0.422
15 Ir 0.043 0.619 0.265
16 Tm 0.651 0.179 0.578
17 Ir 0.457 0.119 0.235
18 Pd 0.500 0.500 0.000

---

No. 11
Here is a geometry-optimized Ca2Be3Si4Ni structure from Alexandria. Energies are from PBE-GGA.

Properties
Space group ... P-4m2, No. 115
DOS at the Fermi energy ... 0.382 states/eV per atom
Formation energy without anion corrections ... -0.3275 eV/atom

a b c (Å): 3.870 3.870 9.926
angles (deg): 90.00 90.00 90.00
Atoms (fractional coordinates):
1 Be 0.000 0.000 0.500
2 Si 0.000 0.500 0.370
3 Ca 0.500 0.000 0.252
4 Ni 0.500 0.500 0.500
5 Si 0.500 0.500 0.000
6 Si 0.500 0.000 0.630
7 Be 0.000 0.500 0.135
8 Si 0.000 0.000 0.000
9 Ca 0.000 0.500 0.748
10 Be 0.500 0.000 0.865

---

No. 12
Here is a geometry-optimized SiTe4Cl structure from Alexandria. Energies are from PBE-GGA.

Properties
Space group ... C2/m, No. 12
DOS at the Fermi energy ... 0.057 states/eV per atom
Energy above the lowest structure with this stoichiometry ... 0 meV per atom
Formation energy without anion corrections ... -0.1266 eV/atom

a b c (Å): 7.931 10.301 7.633
angles (deg): 132.43 112.38 90.00
Atoms (fractional coordinates):
1 Te 0.650 0.442 0.285
2 Cl 0.077 0.806 0.612
3 Te 0.350 0.558 0.715
4 Te 0.000 0.692 0.000
5 Cl 0.923 0.194 0.388
6 Si 0.139 0.418 0.836
7 Te 0.350 0.157 0.715
8 Te 0.509 0.278 0.556
9 Te 0.650 0.843 0.285
10 Te 0.000 0.308 0.000
11 Si 0.861 0.582 0.164
12 Te 0.491 0.722 0.444